A:
HfMoIO2 | PBE+U | relaxed

a b c (Å): 4.0797 4.0797 5.8794
angles (deg): 90.00 90.00 90.00
Last column: nearest neighbours and their distance in Å.
Fractional coordinates of all 5 atoms:
O  0.5000  0.0000  0.0000  2 Mo 2.04
O  0.0000  0.5000  0.0000  2 Mo 2.04
Mo  0.0000  0.0000  0.0000  4 O 2.04
Hf  0.5000  0.5000  0.5000  4 I 2.88
I  0.0000  0.0000  0.5000  4 Hf 2.88, 2 Mo 2.94

Calculated values
- Size of the total moment: 3.71 μB/cell
- DOS at the Fermi energy: 0.902 states/eV per atom
- Space group: No. 123

***

B:
HfMoIO2 | PBE+U | relaxed

a b c (Å): 4.1309 4.1309 6.0908
angles (deg): 90.00 90.00 90.00
Last column: nearest neighbours and their distance in Å.
Fractional coordinates of all 5 atoms:
Hf  0.0000  0.0000  0.0000  4 O 2.07
Mo  0.5000  0.5000  0.5000  4 I 2.92
O  0.0000  0.5000  0.0000  2 Hf 2.07
O  0.5000  0.0000  0.0000  2 Hf 2.07
I  0.0000  0.0000  0.5000  4 Mo 2.92, 2 Hf 3.05

Calculated values
- Size of the total moment: 4.96 μB/cell
- DOS at the Fermi energy: 0.060 states/eV per atom
- Space group: No. 123

***

Most stable structure among those shown: B.